Compound: AlS6Cl2
Source: the Alexandria database
Functional: PBE
Structure: optimized geometry

Summary:
E: -3.944 eV/atom
volume: 246.1 Å³ per cell
space group: No. 2
mass density: 1.96 g cm⁻³

Cell and atoms, written as POSCAR:
```
AlS6Cl2
1.0
3.1766 0.0000 0.0000
1.2363 8.8183 0.0000
0.0789 2.5049 8.7838
Al S Cl
1 6 2
direct
0.0000 0.0000 0.0000
0.0813 0.8097 0.6976
0.0984 0.7506 0.9322
0.1589 0.6155 0.6350
0.8411 0.3845 0.3650
0.9016 0.2494 0.0678
0.9187 0.1903 0.3024
0.4608 0.1125 0.8170
0.5392 0.8875 0.1830
```